Entry from the Alexandria database: crystalline Ca2CoPb at its relaxed geometry (PBE).

a b c (Å): 9.480 9.480 9.480
angles (deg): 22.39 22.39 22.39
Atoms (fractional coordinates):
Ca 0.235 0.235 0.235
Ca 0.765 0.765 0.765
Co 0.500 0.500 0.500
Pb 0.000 0.000 0.000

Values from the calculation:
Crystal system ... trigonal
VASP energy ... -3.572 eV/atom